[1]
# TbPrSmDy (GGA-PBE, optimized geometry)
# distance to the lowest polymorph of the same formula = 0.000 eV per atom
# E_tot = -0.3429 Ry/atom
# space group = No. 119
# spin magnetization = 0.0 Bohr magnetons per cell
# crystal system = tetragonal
# energy relative to the elements = 18 meV/atom
data_TbPrSmDy
_chemical_formula_sum 'Tb1 Pr1 Sm1 Dy1'
_cell_length_a 5.113
_cell_length_b 5.115
_cell_length_c 6.251
_cell_angle_alpha 114.15
_cell_angle_beta 114.14
_cell_angle_gamma 90.00
_symmetry_space_group_name_H-M 'P 1'
_symmetry_Int_Tables_number 1
loop_
_symmetry_equiv_pos_as_xyz
'x,y,z'
loop_
_atom_site_label
_atom_site_fract_x
_atom_site_fract_y
_atom_site_fract_z
Tb1 0.446 0.446 0.891
Pr1 0.696 0.196 0.391
Sm1 0.945 0.945 0.891
Dy1 0.196 0.696 0.391



[2]
# PuCdHPb (GGA-PBE, optimized geometry)
# E_tot = -0.4222 Ry/atom
# space group = No. 129
# spin magnetization = 10.9 Bohr magnetons per cell
# crystal system = tetragonal
data_PuCdHPb
_chemical_formula_sum 'Pu2 Cd2 H2 Pb2'
_cell_length_a 4.379
_cell_length_b 4.379
_cell_length_c 8.578
_cell_angle_alpha 90.00
_cell_angle_beta 90.00
_cell_angle_gamma 90.00
_symmetry_space_group_name_H-M 'P 1'
_symmetry_Int_Tables_number 1
loop_
_symmetry_equiv_pos_as_xyz
'x,y,z'
loop_
_atom_site_label
_atom_site_fract_x
_atom_site_fract_y
_atom_site_fract_z
Pu1 0.000 0.500 0.883
Pu2 0.500 0.000 0.117
Cd1 0.000 0.000 0.500
Cd2 0.500 0.500 0.500
H1 0.500 0.500 0.000
H2 0.000 0.000 0.000
Pb1 0.500 0.000 0.741
Pb2 0.000 0.500 0.259



[3]
# Zr2TcAg (GGA-PBE, optimized geometry)
# E_tot = -0.5157 Ry/atom
# space group = No. 71
# spin magnetization = 0.0 Bohr magnetons per cell
# crystal system = orthorhombic
# energy relative to the elements = 562 meV/atom
data_Zr2TcAg
_chemical_formula_sum 'Zr2 Tc1 Ag1'
_cell_length_a 6.158
_cell_length_b 6.158
_cell_length_c 6.158
_cell_angle_alpha 57.86
_cell_angle_beta 153.14
_cell_angle_gamma 129.78
_symmetry_space_group_name_H-M 'P 1'
_symmetry_Int_Tables_number 1
loop_
_symmetry_equiv_pos_as_xyz
'x,y,z'
loop_
_atom_site_label
_atom_site_fract_x
_atom_site_fract_y
_atom_site_fract_z
Zr1 0.000 0.238 0.238
Zr2 0.000 0.762 0.762
Tc1 0.000 0.000 0.000
Ag1 0.000 0.500 0.500



[4]
# U2Tl3InO9 (GGA-PBE, optimized geometry)
# E_tot = -0.5344 Ry/atom
# space group = No. 164
# ΔE_f (raw) = -2.135 eV/atom
# spin magnetization = 0.0 Bohr magnetons per cell
# crystal system = trigonal
data_U2Tl3InO9
_chemical_formula_sum 'U2 Tl3 In1 O9'
_cell_length_a 6.087
_cell_length_b 6.087
_cell_length_c 7.463
_cell_angle_alpha 90.00
_cell_angle_beta 90.00
_cell_angle_gamma 120.00
_symmetry_space_group_name_H-M 'P 1'
_symmetry_Int_Tables_number 1
loop_
_symmetry_equiv_pos_as_xyz
'x,y,z'
loop_
_atom_site_label
_atom_site_fract_x
_atom_site_fract_y
_atom_site_fract_z
U1 0.333 0.667 0.171
U2 0.667 0.333 0.829
Tl1 0.333 0.667 0.657
Tl2 0.000 0.000 0.000
Tl3 0.667 0.333 0.343
In1 0.000 0.000 0.500
O1 0.828 0.172 0.674
O2 0.828 0.655 0.674
O3 0.345 0.172 0.674
O4 0.655 0.828 0.326
O5 0.172 0.345 0.326
O6 0.172 0.828 0.326
O7 0.500 0.000 0.000
O8 0.000 0.500 0.000
O9 0.500 0.500 0.000



[5]
# ZrInBr2 (GGA-PBE, optimized geometry)
# distance to the lowest polymorph of the same formula = 0.085 eV per atom
# E_tot = -0.3185 Ry/atom
# space group = No. 8
# ΔE_f (raw) = -0.676 eV/atom
# spin magnetization = 0.0 Bohr magnetons per cell
# crystal system = monoclinic
data_ZrInBr2
_chemical_formula_sum 'Zr1 In1 Br2'
_cell_length_a 6.007
_cell_length_b 6.007
_cell_length_c 7.317
_cell_angle_alpha 70.88
_cell_angle_beta 70.88
_cell_angle_gamma 32.92
_symmetry_space_group_name_H-M 'P 1'
_symmetry_Int_Tables_number 1
loop_
_symmetry_equiv_pos_as_xyz
'x,y,z'
loop_
_atom_site_label
_atom_site_fract_x
_atom_site_fract_y
_atom_site_fract_z
Br1 0.083 0.083 0.928
Br2 0.265 0.265 0.324
Zr1 0.709 0.709 0.634
In1 0.443 0.443 0.613



[6]
# DyCu8Ni4 (GGA-PBE, optimized geometry)
# E_tot = -0.3507 Ry/atom
# space group = No. 139
# spin magnetization = 0.0 Bohr magnetons per cell
# crystal system = tetragonal
# energy relative to the elements = -118 meV/atom
data_DyCu8Ni4
_chemical_formula_sum 'Dy1 Cu8 Ni4'
_cell_length_a 4.836
_cell_length_b 6.361
_cell_length_c 6.361
_cell_angle_alpha 81.69
_cell_angle_beta 67.66
_cell_angle_gamma 67.66
_symmetry_space_group_name_H-M 'P 1'
_symmetry_Int_Tables_number 1
loop_
_symmetry_equiv_pos_as_xyz
'x,y,z'
loop_
_atom_site_label
_atom_site_fract_x
_atom_site_fract_y
_atom_site_fract_z
Dy1 0.000 0.000 0.000
Cu1 0.000 0.350 0.650
Cu2 0.000 0.650 0.350
Cu3 0.350 0.650 0.650
Cu4 0.650 0.350 0.350
Cu5 0.500 0.778 0.222
Cu6 0.500 0.222 0.778
Cu7 0.278 0.222 0.222
Cu8 0.722 0.778 0.778
Ni1 0.000 0.000 0.500
Ni2 0.500 0.000 0.500
Ni3 0.000 0.500 0.000
Ni4 0.500 0.500 0.000